[1]
A plane-wave DFT calculation with PBE was carried out for crystalline HoSc2Cu4Si4 at its relaxed geometry. Values from VASP.

Cell and atoms, written as Quantum ESPRESSO input:
```
&SYSTEM
  ibrav = 0, nat = 11, ntyp = 4
/
ATOMIC_SPECIES
Ho 164.93 Ho.upf
Sc 44.96 Sc.upf
Cu 63.55 Cu.upf
Si 28.09 Si.upf
CELL_PARAMETERS angstrom
-1.983 3.263 6.602
1.983 -3.263 6.602
1.983 3.263 -6.602
ATOMIC_POSITIONS crystal
Ho 0.000 0.000 0.000
Sc 0.374 0.874 0.500
Sc 0.626 0.126 0.500
Cu 0.022 0.329 0.693
Cu 0.365 0.671 0.693
Cu 0.635 0.329 0.307
Cu 0.978 0.671 0.307
Si 0.221 0.221 0.000
Si 0.319 0.500 0.819
Si 0.681 0.500 0.181
Si 0.779 0.779 0.000
```

Output
The total energy comes out at -60.80 eV/f.u. The space-group type is Immm. The total magnetization comes out at 0.000 μB/atom.

---

[2]
A plane-wave DFT calculation with PBE was carried out for crystalline HoScCu2Sn2 at its relaxed geometry. Values from VASP.

Cell and atoms, written as Quantum ESPRESSO input:
```
&SYSTEM
  ibrav = 0, nat = 6, ntyp = 4
/
ATOMIC_SPECIES
Ho 164.93 Ho.upf
Sc 44.96 Sc.upf
Cu 63.55 Cu.upf
Sn 118.71 Sn.upf
CELL_PARAMETERS angstrom
4.464 0.000 0.000
-2.232 3.866 0.000
0.000 0.000 7.015
ATOMIC_POSITIONS crystal
Ho 0.000 0.000 0.000
Sc 0.000 0.000 0.499
Cu 0.333 0.667 0.327
Cu 0.667 0.333 0.812
Sn 0.333 0.667 0.721
Sn 0.667 0.333 0.240
```

Output
The total energy comes out at -29.75 eV/f.u. The space-group type is P3m1. The total magnetization comes out at 0.000 μB/atom.

---

[3]
A plane-wave DFT calculation with PBE was carried out for crystalline Ho3Sc3CuTe2 at its relaxed geometry. Values from VASP.

Cell and atoms, written as Quantum ESPRESSO input:
```
&SYSTEM
  ibrav = 0, nat = 9, ntyp = 4
/
ATOMIC_SPECIES
Ho 164.93 Ho.upf
Sc 44.96 Sc.upf
Cu 63.55 Cu.upf
Te 127.60 Te.upf
CELL_PARAMETERS angstrom
7.994 0.000 0.000
-3.997 6.923 0.000
0.000 0.000 3.956
ATOMIC_POSITIONS crystal
Ho 0.000 0.605 0.000
Ho 0.395 0.395 0.000
Ho 0.605 0.000 0.000
Sc 0.000 0.237 0.500
Sc 0.237 0.000 0.500
Sc 0.763 0.763 0.500
Cu 0.000 0.000 0.000
Te 0.333 0.667 0.500
Te 0.667 0.333 0.500
```

Output
The space-group type is P-62m. The total magnetization comes out at 0.006 μB/atom. For the distance to the lowest polymorph of the same formula, the calculation gives 0.00 kcal/mol of atoms.

---

[4]
A plane-wave DFT calculation with PBE was carried out for crystalline Ho3Sc3CuTe2 at its relaxed geometry. Values from VASP.

Cell and atoms, written as Quantum ESPRESSO input:
```
&SYSTEM
  ibrav = 0, nat = 9, ntyp = 4
/
ATOMIC_SPECIES
Ho 164.93 Ho.upf
Sc 44.96 Sc.upf
Cu 63.55 Cu.upf
Te 127.60 Te.upf
CELL_PARAMETERS angstrom
3.941 0.000 0.000
0.000 6.916 3.993
0.000 -6.916 3.993
ATOMIC_POSITIONS crystal
Ho 0.000 0.000 0.000
Ho 0.000 0.211 0.605
Ho 0.000 0.605 0.211
Sc 0.500 0.368 0.368
Sc 0.500 0.605 0.843
Sc 0.500 0.843 0.605
Cu 0.000 0.605 0.605
Te 0.500 0.272 0.939
Te 0.500 0.939 0.272
```

Output
The space-group type is Amm2. The total magnetization comes out at 0.006 μB/atom. For the distance to the lowest polymorph of the same formula, the calculation gives 0.01 kcal/mol of atoms.

---

[5]
A plane-wave DFT calculation with PBE was carried out for crystalline Ho3Sc3CuTe2 at its relaxed geometry. Values from VASP.

Cell and atoms, written as Quantum ESPRESSO input:
```
&SYSTEM
  ibrav = 0, nat = 9, ntyp = 4
/
ATOMIC_SPECIES
Ho 164.93 Ho.upf
Sc 44.96 Sc.upf
Cu 63.55 Cu.upf
Te 127.60 Te.upf
CELL_PARAMETERS angstrom
8.171 0.000 0.000
-4.086 7.077 0.000
0.000 0.000 3.786
ATOMIC_POSITIONS crystal
Ho 0.000 0.249 0.000
Ho 0.249 0.000 0.000
Ho 0.751 0.751 0.000
Sc 0.000 0.597 0.500
Sc 0.403 0.403 0.500
Sc 0.597 0.000 0.500
Cu 0.000 0.000 0.500
Te 0.333 0.667 0.000
Te 0.667 0.333 0.000
```

Output
The space-group type is P-62m. The total magnetization comes out at 0.000 μB/atom. For the distance to the lowest polymorph of the same formula, the calculation gives 2.04 kcal/mol of atoms.

---

[6]
A plane-wave DFT calculation with PBE was carried out for crystalline Ho2TmSc3CuTe2 at its relaxed geometry. Values from VASP.

Cell and atoms, written as Quantum ESPRESSO input:
```
&SYSTEM
  ibrav = 0, nat = 9, ntyp = 5
/
ATOMIC_SPECIES
Ho 164.93 Ho.upf
Tm 168.93 Tm.upf
Sc 44.96 Sc.upf
Cu 63.55 Cu.upf
Te 127.60 Te.upf
CELL_PARAMETERS angstrom
3.940 0.000 0.000
0.000 6.915 3.992
0.000 -6.915 3.992
ATOMIC_POSITIONS crystal
Ho 0.000 0.197 0.803
Ho 0.000 0.803 0.197
Tm 0.000 0.410 0.410
Sc 0.500 0.040 0.040
Sc 0.500 0.565 0.802
Sc 0.500 0.802 0.565
Cu 0.000 0.800 0.800
Te 0.500 0.137 0.469
Te 0.500 0.469 0.137
```

Output
The total energy comes out at -48.49 eV/f.u. The space-group type is Amm2. The total magnetization comes out at 0.003 μB/atom.

---

[7]
A plane-wave DFT calculation with PBE was carried out for crystalline Y3HoSc2CuTe2 at its relaxed geometry. Values from VASP.

Cell and atoms, written as Quantum ESPRESSO input:
```
&SYSTEM
  ibrav = 0, nat = 9, ntyp = 5
/
ATOMIC_SPECIES
Y 88.91 Y.upf
Ho 164.93 Ho.upf
Sc 44.96 Sc.upf
Cu 63.55 Cu.upf
Te 127.60 Te.upf
CELL_PARAMETERS angstrom
3.956 0.000 0.000
0.000 7.089 4.039
0.000 -7.089 4.039
ATOMIC_POSITIONS crystal
Y 0.000 0.000 0.000
Y 0.000 0.391 0.793
Y 0.000 0.793 0.391
Ho 0.500 0.628 0.628
Sc 0.500 0.154 0.394
Sc 0.500 0.394 0.154
Cu 0.000 0.377 0.377
Te 0.500 0.063 0.726
Te 0.500 0.726 0.063
```

Output
The total energy comes out at -52.65 eV/f.u. The space-group type is Amm2. The total magnetization comes out at 0.007 μB/atom.

---

[8]
A plane-wave DFT calculation with PBE was carried out for crystalline YHo2Sc3CuTe2 at its relaxed geometry. Values from VASP.

Cell and atoms, written as Quantum ESPRESSO input:
```
&SYSTEM
  ibrav = 0, nat = 9, ntyp = 5
/
ATOMIC_SPECIES
Y 88.91 Y.upf
Ho 164.93 Ho.upf
Sc 44.96 Sc.upf
Cu 63.55 Cu.upf
Te 127.60 Te.upf
CELL_PARAMETERS angstrom
3.966 0.000 0.000
0.000 6.922 4.003
0.000 -6.922 4.003
ATOMIC_POSITIONS crystal
Y 0.000 0.000 0.000
Ho 0.000 0.396 0.791
Ho 0.000 0.791 0.396
Sc 0.500 0.160 0.396
Sc 0.500 0.396 0.160
Sc 0.500 0.632 0.632
Cu 0.000 0.396 0.396
Te 0.500 0.063 0.729
Te 0.500 0.729 0.063
```

Output
The total energy comes out at -50.60 eV/f.u. The space-group type is Amm2. The total magnetization comes out at 0.007 μB/atom.

---

[9]
A plane-wave DFT calculation with PBE was carried out for crystalline Y2HoSc3CuTe2 at its relaxed geometry. Values from VASP.

Cell and atoms, written as Quantum ESPRESSO input:
```
&SYSTEM
  ibrav = 0, nat = 9, ntyp = 5
/
ATOMIC_SPECIES
Y 88.91 Y.upf
Ho 164.93 Ho.upf
Sc 44.96 Sc.upf
Cu 63.55 Cu.upf
Te 127.60 Te.upf
CELL_PARAMETERS angstrom
3.961 0.000 0.000
0.000 6.928 3.985
0.000 -6.928 3.985
ATOMIC_POSITIONS crystal
Y 0.000 0.198 0.802
Y 0.000 0.802 0.198
Ho 0.000 0.592 0.592
Sc 0.500 0.199 0.434
Sc 0.500 0.434 0.199
Sc 0.500 0.961 0.961
Cu 0.000 0.199 0.199
Te 0.500 0.531 0.864
Te 0.500 0.864 0.531
```

Output
The total energy comes out at -52.55 eV/f.u. The space-group type is Amm2. The total magnetization comes out at 0.007 μB/atom.

---

[10]
A plane-wave DFT calculation with PBE was carried out for crystalline Y2Ho3ScCuTe2 at its relaxed geometry. Values from VASP.

Cell and atoms, written as Quantum ESPRESSO input:
```
&SYSTEM
  ibrav = 0, nat = 9, ntyp = 5
/
ATOMIC_SPECIES
Y 88.91 Y.upf
Ho 164.93 Ho.upf
Sc 44.96 Sc.upf
Cu 63.55 Cu.upf
Te 127.60 Te.upf
CELL_PARAMETERS angstrom
3.895 0.000 0.000
0.000 7.215 4.149
0.000 -7.215 4.149
ATOMIC_POSITIONS crystal
Y 0.000 0.202 0.798
Y 0.000 0.798 0.202
Ho 0.500 0.207 0.447
Ho 0.500 0.447 0.207
Ho 0.500 0.954 0.954
Sc 0.000 0.604 0.604
Cu 0.000 0.203 0.203
Te 0.500 0.537 0.864
Te 0.500 0.864 0.537
```

Output
The total energy comes out at -48.59 eV/f.u. The space-group type is Amm2. The total magnetization comes out at 0.005 μB/atom.

---

[11]
A plane-wave DFT calculation with PBE was carried out for crystalline Ho2CuSe3 at its relaxed geometry. Values from VASP.

Cell and atoms, written as Quantum ESPRESSO input:
```
&SYSTEM
  ibrav = 0, nat = 24, ntyp = 3
/
ATOMIC_SPECIES
Ho 164.93 Ho.upf
Cu 63.55 Cu.upf
Se 78.96 Se.upf
CELL_PARAMETERS angstrom
10.389 0.000 0.000
0.000 3.885 0.000
0.000 0.000 13.180
ATOMIC_POSITIONS crystal
Ho 0.020 0.250 0.245
Ho 0.218 0.750 0.517
Ho 0.282 0.250 0.017
Ho 0.480 0.750 0.745
Ho 0.520 0.250 0.255
Ho 0.718 0.750 0.983
Ho 0.782 0.250 0.483
Ho 0.980 0.750 0.755
Cu 0.231 0.250 0.728
Cu 0.269 0.750 0.228
Cu 0.731 0.250 0.772
Cu 0.769 0.750 0.272
Se 0.047 0.250 0.606
Se 0.101 0.750 0.100
Se 0.232 0.750 0.848
Se 0.268 0.250 0.348
Se 0.399 0.250 0.600
Se 0.453 0.750 0.106
Se 0.547 0.250 0.894
Se 0.601 0.750 0.400
Se 0.732 0.750 0.652
Se 0.768 0.250 0.152
Se 0.899 0.250 0.900
Se 0.953 0.750 0.394
```

Output
The total energy comes out at -31.48 eV/f.u. The space-group type is Pnma. The total magnetization comes out at 0.004 μB/atom.

---

[12]
A plane-wave DFT calculation with PBE was carried out for crystalline Ho2CuSe3 at its relaxed geometry. Values from VASP.

Cell and atoms, written as Quantum ESPRESSO input:
```
&SYSTEM
  ibrav = 0, nat = 12, ntyp = 3
/
ATOMIC_SPECIES
Ho 164.93 Ho.upf
Cu 63.55 Cu.upf
Se 78.96 Se.upf
CELL_PARAMETERS angstrom
1.940 -6.589 0.000
1.940 6.589 0.000
0.000 0.000 10.433
ATOMIC_POSITIONS crystal
Ho 0.000 0.000 0.000
Ho 0.000 0.000 0.500
Ho 0.228 0.772 0.750
Ho 0.772 0.228 0.250
Cu 0.476 0.524 0.250
Cu 0.524 0.476 0.750
Se 0.099 0.901 0.250
Se 0.353 0.647 0.073
Se 0.353 0.647 0.427
Se 0.647 0.353 0.573
Se 0.647 0.353 0.927
Se 0.901 0.099 0.750
```

Output
The total energy comes out at -31.47 eV/f.u. The space-group type is Cmcm. The total magnetization comes out at 0.001 μB/atom.